1.
# PBEsol Ba5Ag, relaxed
# size of the total moment	0.01	μB/f.u.
# E above lowest polymorph	0	meV/atom
# ΔH_f (0 K)	-0.28	eV per formula unit
data_Ba5Ag
_chemical_formula_sum 'Ba5 Ag1'
_cell_length_a 4.158
_cell_length_b 4.158
_cell_length_c 17.055
_cell_angle_alpha 90.00
_cell_angle_beta 90.00
_cell_angle_gamma 90.00
_symmetry_space_group_name_H-M 'P 4/m m m'
_symmetry_Int_Tables_number 123
_symmetry_space_group_name_Hall '-P 4 2'
loop_
_atom_site_label
_atom_site_fract_x
_atom_site_fract_y
_atom_site_fract_z
Ba1 0.000 0.000 0.000
Ba2 0.000 0.000 0.389
Ba3 0.500 0.500 0.192
Ag1 0.500 0.500 0.500

---

2.
# PBEsol KSb2N2, relaxed
# size of the total moment	0.00	μB/f.u.
# formation energy from raw total energies	4.35	eV/f.u.
data_KSb2N2
_chemical_formula_sum 'K2 Sb4 N4'
_cell_length_a 7.562
_cell_length_b 7.562
_cell_length_c 3.181
_cell_angle_alpha 90.00
_cell_angle_beta 90.00
_cell_angle_gamma 90.00
_symmetry_space_group_name_H-M 'P 4/m b m'
_symmetry_Int_Tables_number 127
_symmetry_space_group_name_Hall '-P 4 2ab'
loop_
_atom_site_label
_atom_site_fract_x
_atom_site_fract_y
_atom_site_fract_z
K1 0.000 0.000 0.000
Sb1 0.128 0.372 0.500
N1 0.121 0.621 0.000

---

3.
# PBEsol InIr4Pb, relaxed
# size of the total moment	0.00	μB/f.u.
# ΔH_f (0 K)	2.23	eV per formula unit
data_InIr4Pb
_chemical_formula_sum 'In4 Ir16 Pb4'
_cell_length_a 7.487
_cell_length_b 7.487
_cell_length_c 7.487
_cell_angle_alpha 90.00
_cell_angle_beta 90.00
_cell_angle_gamma 90.00
_symmetry_space_group_name_H-M 'F -4 3 m'
_symmetry_Int_Tables_number 216
_symmetry_space_group_name_Hall 'F -4 2 3'
loop_
_atom_site_label
_atom_site_fract_x
_atom_site_fract_y
_atom_site_fract_z
In1 0.000 0.000 0.000
Ir1 0.125 0.125 0.625
Pb1 0.250 0.250 0.250

---

4.
# PBEsol BaNi2Sb, relaxed
# size of the total moment	0.00	μB/f.u.
# formation energy from raw total energies	-1.57	eV/f.u.
data_BaNi2Sb
_chemical_formula_sum 'Ba3 Ni6 Sb3'
_cell_length_a 4.3207
_cell_length_b 4.3207
_cell_length_c 16.5228
_cell_angle_alpha 90.00
_cell_angle_beta 90.00
_cell_angle_gamma 120.00
_symmetry_space_group_name_H-M 'R -3 m'
_symmetry_Int_Tables_number 166
_symmetry_space_group_name_Hall '-R 3 2"'
loop_
_atom_site_label
_atom_site_fract_x
_atom_site_fract_y
_atom_site_fract_z
Ba1 0.0000 0.0000 0.0000
Ni1 0.0000 0.0000 0.1872
Sb1 0.0000 0.0000 0.5000

---

5.
# PBEsol CdBPt3, relaxed
# size of the total moment	0.00	μB/f.u.
# E above lowest polymorph	0	meV/atom
# ΔH_f (0 K)	-1.71	eV per formula unit
data_CdBPt3
_chemical_formula_sum 'Cd6 B6 Pt18'
_cell_length_a 5.6404
_cell_length_b 5.6404
_cell_length_c 16.0123
_cell_angle_alpha 90.00
_cell_angle_beta 90.00
_cell_angle_gamma 120.00
_symmetry_space_group_name_H-M 'R -3 m'
_symmetry_Int_Tables_number 166
_symmetry_space_group_name_Hall '-R 3 2"'
loop_
_atom_site_label
_atom_site_fract_x
_atom_site_fract_y
_atom_site_fract_z
Cd1 0.0000 0.0000 0.0980
B1 0.0000 0.0000 0.3314
Pt1 0.0038 0.5019 0.0886

---

6.
# PBEsol CuAsSCl2, relaxed
# size of the total moment	0.00	μB/f.u.
# formation energy from raw total energies	1.60	eV/f.u.
data_CuAsSCl2
_chemical_formula_sum 'Cu1 As1 S1 Cl2'
_cell_length_a 4.784
_cell_length_b 4.784
_cell_length_c 4.866
_cell_angle_alpha 90.00
_cell_angle_beta 90.00
_cell_angle_gamma 90.00
_symmetry_space_group_name_H-M 'P 4/m m m'
_symmetry_Int_Tables_number 123
_symmetry_space_group_name_Hall '-P 4 2'
loop_
_atom_site_label
_atom_site_fract_x
_atom_site_fract_y
_atom_site_fract_z
Cu1 0.000 0.000 0.000
As1 0.500 0.500 0.500
S1 0.500 0.500 0.000
Cl1 0.000 0.500 0.500

---

7.
# PBEsol ZrZn2Cd, relaxed
# size of the total moment	0.00	μB/f.u.
# ΔH_f (0 K)	-0.60	eV per formula unit
data_ZrZn2Cd
_chemical_formula_sum 'Zr1 Zn2 Cd1'
_cell_length_a 3.025
_cell_length_b 3.025
_cell_length_c 7.529
_cell_angle_alpha 90.00
_cell_angle_beta 90.00
_cell_angle_gamma 90.00
_symmetry_space_group_name_H-M 'P 4 m m'
_symmetry_Int_Tables_number 99
_symmetry_space_group_name_Hall 'P 4 -2'
loop_
_atom_site_label
_atom_site_fract_x
_atom_site_fract_y
_atom_site_fract_z
Zr1 0.000 0.000 0.000
Zn1 0.000 0.000 0.553
Zn2 0.500 0.500 0.750
Cd1 0.500 0.500 0.300

---

8.
# PBEsol YBeIn2, relaxed
# size of the total moment	0.00	μB/f.u.
# ΔH_f (0 K)	-0.06	eV per formula unit
data_YBeIn2
_chemical_formula_sum 'Y2 Be2 In4'
_cell_length_a 4.353
_cell_length_b 4.353
_cell_length_c 8.997
_cell_angle_alpha 90.00
_cell_angle_beta 90.00
_cell_angle_gamma 90.00
_symmetry_space_group_name_H-M 'I -4 m 2'
_symmetry_Int_Tables_number 119
_symmetry_space_group_name_Hall 'I -4 -2'
loop_
_atom_site_label
_atom_site_fract_x
_atom_site_fract_y
_atom_site_fract_z
Y1 0.000 0.000 0.000
Be1 0.000 0.500 0.250
In1 0.000 0.000 0.500
In2 0.000 0.500 0.750

---

9.
# PBEsol MgAgIr, relaxed
# size of the total moment	0.00	μB/f.u.
# ΔH_f (0 K)	1.71	eV per formula unit
data_MgAgIr
_chemical_formula_sum 'Mg4 Ag4 Ir4'
_cell_length_a 6.086
_cell_length_b 6.086
_cell_length_c 6.086
_cell_angle_alpha 90.00
_cell_angle_beta 90.00
_cell_angle_gamma 90.00
_symmetry_space_group_name_H-M 'F -4 3 m'
_symmetry_Int_Tables_number 216
_symmetry_space_group_name_Hall 'F -4 2 3'
loop_
_atom_site_label
_atom_site_fract_x
_atom_site_fract_y
_atom_site_fract_z
Mg1 0.000 0.000 0.000
Ag1 0.250 0.250 0.250
Ir1 0.000 0.000 0.500

---

10.
# PBEsol BaScZn, relaxed
# size of the total moment	0.00	μB/f.u.
# E above lowest polymorph	303	meV/atom
# ΔH_f (0 K)	1.51	eV per formula unit
data_BaScZn
_chemical_formula_sum 'Ba4 Sc4 Zn4'
_cell_length_a 7.064
_cell_length_b 7.064
_cell_length_c 7.064
_cell_angle_alpha 90.00
_cell_angle_beta 90.00
_cell_angle_gamma 90.00
_symmetry_space_group_name_H-M 'F -4 3 m'
_symmetry_Int_Tables_number 216
_symmetry_space_group_name_Hall 'F -4 2 3'
loop_
_atom_site_label
_atom_site_fract_x
_atom_site_fract_y
_atom_site_fract_z
Ba1 0.000 0.000 0.000
Sc1 0.250 0.250 0.250
Zn1 0.000 0.000 0.500

---

11.
# PBEsol ScSi2Rh, relaxed
# size of the total moment	0.00	μB/f.u.
# formation energy from raw total energies	-3.98	eV/f.u.
data_ScSi2Rh
_chemical_formula_sum 'Sc4 Si8 Rh4'
_cell_length_a 6.273
_cell_length_b 3.998
_cell_length_c 9.466
_cell_angle_alpha 90.00
_cell_angle_beta 90.00
_cell_angle_gamma 90.00
_symmetry_space_group_name_H-M 'P n m a'
_symmetry_Int_Tables_number 62
_symmetry_space_group_name_Hall '-P 2ac 2n'
loop_
_atom_site_label
_atom_site_fract_x
_atom_site_fract_y
_atom_site_fract_z
Sc1 0.241 0.250 0.182
Si1 0.045 0.750 0.341
Si2 0.231 0.250 0.471
Rh1 0.082 0.250 0.901

---

12.
# PBEsol YAl2Co, relaxed
# size of the total moment	0.55	μB/f.u.
# ΔH_f (0 K)	-1.32	eV per formula unit
data_YAl2Co
_chemical_formula_sum 'Y4 Al8 Co4'
_cell_length_a 3.021
_cell_length_b 15.037
_cell_length_c 6.005
_cell_angle_alpha 90.00
_cell_angle_beta 90.00
_cell_angle_gamma 90.00
_symmetry_space_group_name_H-M 'C m c m'
_symmetry_Int_Tables_number 63
_symmetry_space_group_name_Hall '-C 2c 2'
loop_
_atom_site_label
_atom_site_fract_x
_atom_site_fract_y
_atom_site_fract_z
Y1 0.000 0.238 0.250
Al1 0.000 0.412 0.517
Co1 0.000 0.010 0.750

---

13.
# PBEsol ScZnPd3, relaxed
# size of the total moment	0.00	μB/f.u.
# ΔH_f (0 K)	2.58	eV per formula unit
data_ScZnPd3
_chemical_formula_sum 'Sc1 Zn1 Pd3'
_cell_length_a 4.653
_cell_length_b 4.653
_cell_length_c 4.653
_cell_angle_alpha 90.00
_cell_angle_beta 90.00
_cell_angle_gamma 90.00
_symmetry_space_group_name_H-M 'P m -3 m'
_symmetry_Int_Tables_number 221
_symmetry_space_group_name_Hall '-P 4 2 3'
loop_
_atom_site_label
_atom_site_fract_x
_atom_site_fract_y
_atom_site_fract_z
Sc1 0.000 0.000 0.000
Zn1 0.500 0.500 0.500
Pd1 0.000 0.000 0.500

---

14.
# PBEsol CaAs2H4O8, relaxed
# size of the total moment	0.00	μB/f.u.
data_CaAs2H4O8
_chemical_formula_sum 'Ca2 As4 H8 O16'
_cell_length_a 5.670
_cell_length_b 7.797
_cell_length_c 8.575
_cell_angle_alpha 111.69
_cell_angle_beta 109.14
_cell_angle_gamma 92.20
_symmetry_space_group_name_H-M 'P -1'
_symmetry_Int_Tables_number 2
_symmetry_space_group_name_Hall '-P 1'
loop_
_atom_site_label
_atom_site_fract_x
_atom_site_fract_y
_atom_site_fract_z
Ca1 0.187 0.311 0.412
As1 0.173 0.728 0.319
As2 0.484 0.739 0.847
H1 0.000 0.500 0.000
H2 0.157 0.134 0.774
H3 0.226 0.980 0.998
H4 0.415 0.675 0.075
H5 0.500 0.000 0.500
O1 0.018 0.920 0.322
O2 0.026 0.587 0.380
O3 0.177 0.624 0.105
O4 0.212 0.825 0.821
O5 0.261 0.099 0.117
O6 0.425 0.287 0.948
O7 0.476 0.835 0.466
O8 0.500 0.443 0.329

---

15.
# PBEsol LaSc2W, relaxed
# size of the total moment	0.00	μB/f.u.
# ΔH_f (0 K)	1.72	eV per formula unit
data_LaSc2W
_chemical_formula_sum 'La1 Sc2 W1'
_cell_length_a 2.971
_cell_length_b 2.971
_cell_length_c 10.216
_cell_angle_alpha 90.00
_cell_angle_beta 90.00
_cell_angle_gamma 90.00
_symmetry_space_group_name_H-M 'P 4 m m'
_symmetry_Int_Tables_number 99
_symmetry_space_group_name_Hall 'P 4 -2'
loop_
_atom_site_label
_atom_site_fract_x
_atom_site_fract_y
_atom_site_fract_z
La1 0.000 0.000 0.000
Sc1 0.000 0.000 0.555
Sc2 0.500 0.500 0.298
W1 0.500 0.500 0.759

---

16.
# PBEsol SbPbAu, relaxed
# size of the total moment	0.00	μB/f.u.
# formation energy from raw total energies	-0.13	eV/f.u.
# E above lowest polymorph	24	meV/atom
data_SbPbAu
_chemical_formula_sum 'Sb4 Pb4 Au4'
_cell_length_a 6.823
_cell_length_b 6.823
_cell_length_c 6.823
_cell_angle_alpha 90.00
_cell_angle_beta 90.00
_cell_angle_gamma 90.00
_symmetry_space_group_name_H-M 'F -4 3 m'
_symmetry_Int_Tables_number 216
_symmetry_space_group_name_Hall 'F -4 2 3'
loop_
_atom_site_label
_atom_site_fract_x
_atom_site_fract_y
_atom_site_fract_z
Sb1 0.000 0.000 0.000
Pb1 0.000 0.000 0.500
Au1 0.250 0.250 0.250

---

17.
# PBEsol BeRuSe, relaxed
# size of the total moment	0.00	μB/f.u.
# formation energy from raw total energies	0.95	eV/f.u.
data_BeRuSe
_chemical_formula_sum 'Be1 Ru1 Se1'
_cell_length_a 3.8768
_cell_length_b 3.8768
_cell_length_c 3.0856
_cell_angle_alpha 90.00
_cell_angle_beta 90.00
_cell_angle_gamma 120.00
_symmetry_space_group_name_H-M 'P -6 m 2'
_symmetry_Int_Tables_number 187
_symmetry_space_group_name_Hall 'P -6 2'
loop_
_atom_site_label
_atom_site_fract_x
_atom_site_fract_y
_atom_site_fract_z
Be1 0.0000 0.0000 0.0000
Ru1 0.3333 0.6667 0.0000
Se1 0.6667 0.3333 0.5000

---

18.
# PBEsol BeMoIr2, relaxed
# size of the total moment	0.00	μB/f.u.
# ΔH_f (0 K)	-1.93	eV per formula unit
data_BeMoIr2
_chemical_formula_sum 'Be1 Mo1 Ir2'
_cell_length_a 2.777
_cell_length_b 2.777
_cell_length_c 6.550
_cell_angle_alpha 90.00
_cell_angle_beta 90.00
_cell_angle_gamma 90.00
_symmetry_space_group_name_H-M 'P 4/m m m'
_symmetry_Int_Tables_number 123
_symmetry_space_group_name_Hall '-P 4 2'
loop_
_atom_site_label
_atom_site_fract_x
_atom_site_fract_y
_atom_site_fract_z
Be1 0.000 0.000 0.000
Mo1 0.000 0.000 0.500
Ir1 0.500 0.500 0.216

---

19.
# PBEsol SrMg2P, relaxed
# size of the total moment	0.00	μB/f.u.
# ΔH_f (0 K)	-1.09	eV per formula unit
data_SrMg2P
_chemical_formula_sum 'Sr3 Mg6 P3'
_cell_length_a 4.0911
_cell_length_b 4.0911
_cell_length_c 23.2597
_cell_angle_alpha 90.00
_cell_angle_beta 90.00
_cell_angle_gamma 120.00
_symmetry_space_group_name_H-M 'R -3 m'
_symmetry_Int_Tables_number 166
_symmetry_space_group_name_Hall '-R 3 2"'
loop_
_atom_site_label
_atom_site_fract_x
_atom_site_fract_y
_atom_site_fract_z
Sr1 0.0000 0.0000 0.0000
Mg1 0.0000 0.0000 0.2154
P1 0.0000 0.0000 0.5000

---

20.
# PBEsol LaSb2, relaxed
# size of the total moment	0.00	μB/f.u.
# formation energy from raw total energies	-2.41	eV/f.u.
data_LaSb2
_chemical_formula_sum 'La4 Sb8'
_cell_length_a 6.406
_cell_length_b 6.406
_cell_length_c 9.049
_cell_angle_alpha 90.00
_cell_angle_beta 90.00
_cell_angle_gamma 90.00
_symmetry_space_group_name_H-M 'I 4/m c m'
_symmetry_Int_Tables_number 140
_symmetry_space_group_name_Hall '-I 4 2c'
loop_
_atom_site_label
_atom_site_fract_x
_atom_site_fract_y
_atom_site_fract_z
La1 0.000 0.000 0.250
Sb1 0.166 0.334 0.000

---

How do the records compare in theoretical density? In the order shown, they have 4.47, 5.67, 17.27, 7.02, 16.00, 3.60, 8.06, 6.38, 9.56, 4.67, 5.71, 4.91, 7.08, 3.27, 7.60, 11.00, 7.82, 16.09, 2.47, 6.84 g/cm3.
How do the records compare in VASP energy? In the order shown, they have -14.3, -45.9, -176.2, -61.8, -184.9, -16.2, -14.1, -33.7, -52.6, -35.3, -120.9, -96.3, -23.5, -178.9, -30.6, -50.5, -17.1, -37.3, -36.5, -67.5 eV per cell.